## TaRe2Ir (PBE)

Data for TaRe2Ir after structural relaxation.

Cell lengths 3.915, 2.814, 6.329 Å; angles 63.74, 90.00, 90.00 degrees
Fractional coordinates of all 4 atoms:
Ir (0.500, 0.748, 0.752)
Re (0.000, 0.988, 0.012)
Re (0.500, 0.269, 0.230)
Ta (0.000, 0.494, 0.506)

Space group: Pm (6)
Spin magnetization in μB/f.u.: 0.00
Polymorph energy (0 for the lowest one) in eV per formula unit: 0.20
Energy in eV per atom: -11.565